[1]
Computed, not measured: a geometry-optimized ScNiMo2 structure at the PBEsol level of DFT.

* calculated total energy: -36.07 eV for the cell shown
* N(E_F): 0.80 states/eV per atom
* energy above the lowest structure with this stoichiometry: 0.0 kJ/mol of atoms
* total moment: 0.00 μB/f.u.
* symmetry: P4/mmm (123)
* ΔE_f: 0.056 eV/atom

```
data_ScNiMo2
_symmetry_space_group_name_H-M 'P 1'
_symmetry_Int_Tables_number 1
_symmetry_space_group_name_Hall 'P 1'
_cell_length_a 3.652
_cell_length_b 3.652
_cell_length_c 4.562
_cell_angle_alpha 90.00
_cell_angle_beta 90.00
_cell_angle_gamma 90.00
loop_
_atom_site_label
_atom_site_type_symbol
_atom_site_fract_x
_atom_site_fract_y
_atom_site_fract_z
Sc1 Sc 0.000 0.000 0.000
Ni1 Ni 0.500 0.500 0.000
Mo1 Mo 0.000 0.500 0.500
Mo2 Mo 0.500 0.000 0.500
```

[2]
Computed, not measured: a geometry-optimized ScNiMo2 structure at the PBEsol level of DFT.

* calculated total energy: -35.02 eV for the cell shown
* N(E_F): 1.34 states/eV per atom
* energy above the lowest structure with this stoichiometry: 25.4 kJ/mol of atoms
* total moment: 0.00 μB/f.u.
* symmetry: R3m (160)
* ΔE_f: 0.319 eV/atom

```
data_ScNiMo2
_symmetry_space_group_name_H-M 'P 1'
_symmetry_Int_Tables_number 1
_symmetry_space_group_name_Hall 'P 1'
_cell_length_a 9.225
_cell_length_b 9.225
_cell_length_c 9.225
_cell_angle_alpha 17.37
_cell_angle_beta 17.37
_cell_angle_gamma 17.37
loop_
_atom_site_label
_atom_site_type_symbol
_atom_site_fract_x
_atom_site_fract_y
_atom_site_fract_z
Sc1 Sc 0.000 0.000 0.000
Ni1 Ni 0.746 0.746 0.746
Mo1 Mo 0.241 0.241 0.241
Mo2 Mo 0.487 0.487 0.487
```

[3]
Computed, not measured: a geometry-optimized Sc2NiMo structure at the PBEsol level of DFT.

* calculated total energy: -31.22 eV for the cell shown
* N(E_F): 1.00 states/eV per atom
* total moment: 0.00 μB/f.u.
* symmetry: Imm2 (44)
* ΔE_f: -0.022 eV/atom

```
data_Sc2NiMo
_symmetry_space_group_name_H-M 'P 1'
_symmetry_Int_Tables_number 1
_symmetry_space_group_name_Hall 'P 1'
_cell_length_a 5.430
_cell_length_b 5.430
_cell_length_c 5.430
_cell_angle_alpha 145.80
_cell_angle_beta 132.01
_cell_angle_gamma 60.24
loop_
_atom_site_label
_atom_site_type_symbol
_atom_site_fract_x
_atom_site_fract_y
_atom_site_fract_z
Sc1 Sc 0.000 0.000 0.000
Sc2 Sc 0.724 0.224 0.500
Ni1 Ni 0.480 0.480 0.000
Mo1 Mo 0.262 0.762 0.500
```

[4]
Computed, not measured: a geometry-optimized Sc2NiMo structure at the PBEsol level of DFT.

* calculated total energy: -31.40 eV for the cell shown
* N(E_F): 1.29 states/eV per atom
* total moment: 0.00 μB/f.u.
* symmetry: P4/mmm (123)
* ΔE_f: -0.066 eV/atom

```
data_Sc2NiMo
_symmetry_space_group_name_H-M 'P 1'
_symmetry_Int_Tables_number 1
_symmetry_space_group_name_Hall 'P 1'
_cell_length_a 3.163
_cell_length_b 3.163
_cell_length_c 6.556
_cell_angle_alpha 90.00
_cell_angle_beta 90.00
_cell_angle_gamma 90.00
loop_
_atom_site_label
_atom_site_type_symbol
_atom_site_fract_x
_atom_site_fract_y
_atom_site_fract_z
Sc1 Sc 0.000 0.000 0.235
Sc2 Sc 0.000 0.000 0.765
Ni1 Ni 0.500 0.500 0.000
Mo1 Mo 0.500 0.500 0.500
```

[5]
Computed, not measured: a geometry-optimized ScNi6Mo structure at the PBEsol level of DFT.

* calculated total energy: -228.50 eV for the cell shown
* N(E_F): 0.93 states/eV per atom
* total moment: 0.03 μB/f.u.
* symmetry: Cmmm (65)
* ΔE_f: -0.226 eV/atom

```
data_ScNi6Mo
_symmetry_space_group_name_H-M 'P 1'
_symmetry_Int_Tables_number 1
_symmetry_space_group_name_Hall 'P 1'
_cell_length_a 6.262
_cell_length_b 6.262
_cell_length_c 10.213
_cell_angle_alpha 90.00
_cell_angle_beta 90.00
_cell_angle_gamma 109.40
loop_
_atom_site_label
_atom_site_type_symbol
_atom_site_fract_x
_atom_site_fract_y
_atom_site_fract_z
Sc1 Sc 0.000 0.000 0.250
Sc2 Sc 0.000 0.000 0.750
Sc3 Sc 0.249 0.751 0.000
Sc4 Sc 0.751 0.249 0.000
Ni1 Ni 0.000 0.000 0.000
Ni2 Ni 0.000 0.000 0.500
Ni3 Ni 0.129 0.384 0.378
Ni4 Ni 0.129 0.384 0.622
Ni5 Ni 0.132 0.379 0.129
Ni6 Ni 0.132 0.379 0.871
Ni7 Ni 0.254 0.746 0.257
Ni8 Ni 0.254 0.746 0.743
Ni9 Ni 0.379 0.132 0.129
Ni10 Ni 0.379 0.132 0.871
Ni11 Ni 0.384 0.129 0.378
Ni12 Ni 0.384 0.129 0.622
Ni13 Ni 0.500 0.500 0.000
Ni14 Ni 0.500 0.500 0.500
Ni15 Ni 0.616 0.871 0.378
Ni16 Ni 0.616 0.871 0.622
Ni17 Ni 0.621 0.868 0.129
Ni18 Ni 0.621 0.868 0.871
Ni19 Ni 0.746 0.254 0.257
Ni20 Ni 0.746 0.254 0.743
Ni21 Ni 0.868 0.621 0.129
Ni22 Ni 0.868 0.621 0.871
Ni23 Ni 0.871 0.616 0.378
Ni24 Ni 0.871 0.616 0.622
Mo1 Mo 0.246 0.754 0.500
Mo2 Mo 0.500 0.500 0.247
Mo3 Mo 0.500 0.500 0.753
Mo4 Mo 0.754 0.246 0.500
```

[6]
Computed, not measured: a geometry-optimized Ni2MoSe structure at the PBEsol level of DFT.

* calculated total energy: -27.36 eV for the cell shown
* N(E_F): 0.79 states/eV per atom
* total moment: 0.00 μB/f.u.
* energy relative to the elements, uncorrected: 0.14 eV/atom
* symmetry: Cm (8)

```
data_Ni2MoSe
_symmetry_space_group_name_H-M 'P 1'
_symmetry_Int_Tables_number 1
_symmetry_space_group_name_Hall 'P 1'
_cell_length_a 4.230
_cell_length_b 4.230
_cell_length_c 4.719
_cell_angle_alpha 100.34
_cell_angle_beta 100.34
_cell_angle_gamma 39.05
loop_
_atom_site_label
_atom_site_type_symbol
_atom_site_fract_x
_atom_site_fract_y
_atom_site_fract_z
Ni1 Ni 0.000 0.000 0.000
Ni2 Ni 0.748 0.748 0.224
Mo1 Mo 0.496 0.496 0.472
Se1 Se 0.249 0.249 0.784
```

[7]
Computed, not measured: a geometry-optimized Ni2MoSe structure at the PBEsol level of DFT.

* calculated total energy: -26.85 eV for the cell shown
* N(E_F): 1.41 states/eV per atom
* total moment: 0.00 μB/f.u.
* energy relative to the elements, uncorrected: 0.27 eV/atom
* symmetry: I4/mmm (139)

```
data_Ni2MoSe
_symmetry_space_group_name_H-M 'P 1'
_symmetry_Int_Tables_number 1
_symmetry_space_group_name_Hall 'P 1'
_cell_length_a 4.704
_cell_length_b 4.704
_cell_length_c 4.704
_cell_angle_alpha 134.80
_cell_angle_beta 134.80
_cell_angle_gamma 65.84
loop_
_atom_site_label
_atom_site_type_symbol
_atom_site_fract_x
_atom_site_fract_y
_atom_site_fract_z
Ni1 Ni 0.250 0.750 0.500
Ni2 Ni 0.750 0.250 0.500
Mo1 Mo 0.000 0.000 0.000
Se1 Se 0.500 0.500 0.000
```

[8]
Computed, not measured: a geometry-optimized SiNiMo2 structure at the PBEsol level of DFT.

* calculated total energy: -35.17 eV for the cell shown
* N(E_F): 0.81 states/eV per atom
* total moment: 0.00 μB/f.u.
* energy relative to the elements, uncorrected: 0.07 eV/atom
* symmetry: R-3m (166)

```
data_SiNiMo2
_symmetry_space_group_name_H-M 'P 1'
_symmetry_Int_Tables_number 1
_symmetry_space_group_name_Hall 'P 1'
_cell_length_a 8.648
_cell_length_b 8.648
_cell_length_c 8.648
_cell_angle_alpha 18.06
_cell_angle_beta 18.06
_cell_angle_gamma 18.06
loop_
_atom_site_label
_atom_site_type_symbol
_atom_site_fract_x
_atom_site_fract_y
_atom_site_fract_z
Si1 Si 0.000 0.000 0.000
Ni1 Ni 0.500 0.500 0.500
Mo1 Mo 0.249 0.249 0.249
Mo2 Mo 0.751 0.751 0.751
```

[9]
Computed, not measured: a geometry-optimized SiNi2Mo structure at the PBEsol level of DFT.

* calculated total energy: -30.03 eV for the cell shown
* N(E_F): 1.10 states/eV per atom
* total moment: 0.00 μB/f.u.
* energy relative to the elements, uncorrected: -0.05 eV/atom
* symmetry: R3m (160)

```
data_SiNi2Mo
_symmetry_space_group_name_H-M 'P 1'
_symmetry_Int_Tables_number 1
_symmetry_space_group_name_Hall 'P 1'
_cell_length_a 8.099
_cell_length_b 8.099
_cell_length_c 8.099
_cell_angle_alpha 18.97
_cell_angle_beta 18.97
_cell_angle_gamma 18.97
loop_
_atom_site_label
_atom_site_type_symbol
_atom_site_fract_x
_atom_site_fract_y
_atom_site_fract_z
Si1 Si 0.000 0.000 0.000
Ni1 Ni 0.490 0.490 0.490
Ni2 Ni 0.740 0.740 0.740
Mo1 Mo 0.243 0.243 0.243
```

[10]
Computed, not measured: a geometry-optimized SiNiMo2 structure at the PBEsol level of DFT.

* calculated total energy: -35.98 eV for the cell shown
* N(E_F): 0.73 states/eV per atom
* total moment: 0.00 μB/f.u.
* energy relative to the elements, uncorrected: -0.14 eV/atom
* symmetry: Cmmm (65)

```
data_SiNiMo2
_symmetry_space_group_name_H-M 'P 1'
_symmetry_Int_Tables_number 1
_symmetry_space_group_name_Hall 'P 1'
_cell_length_a 4.625
_cell_length_b 4.625
_cell_length_c 2.733
_cell_angle_alpha 90.00
_cell_angle_beta 90.00
_cell_angle_gamma 114.77
loop_
_atom_site_label
_atom_site_type_symbol
_atom_site_fract_x
_atom_site_fract_y
_atom_site_fract_z
Si1 Si 0.000 0.000 0.000
Ni1 Ni 0.500 0.500 0.000
Mo1 Mo 0.000 0.500 0.500
Mo2 Mo 0.500 0.000 0.500
```